Record 1
Entry from Alexandria via LeMat-Bulk: Ac2Sb2H after structural relaxation (PBE).

a = 6.751 Å, b = 13.535 Å, c = 6.660 Å
α = 90.00°, β = 90.00°, γ = 90.00°
Space group Ibam (No. 72)
Symmetry-distinct sites (fractional):
Ac 0.217 0.109 0.000
Sb 0.212 0.357 0.000
H 0.000 0.000 0.250

- Uncorrected energy: -0.3546 Ry/atom



Record 2
Entry from Alexandria via LeMat-Bulk: Ce2NdZn2In2 after structural relaxation (PBE).

a = 4.5735 Å, b = 4.5735 Å, c = 28.3208 Å
α = 90.00°, β = 90.00°, γ = 120.00°
Space group R-3m (No. 166, hexagonal axes)
Symmetry-distinct sites (fractional):
Ce 0.0000 0.0000 0.1436
Nd 0.0000 0.0000 0.0000
Zn 0.0000 0.0000 0.4123
In 0.0000 0.0000 0.2638

- Energy relative to the elements: -0.2854 eV per atom



Record 3
Entry from Alexandria via LeMat-Bulk: NdDy2Y6Th after structural relaxation (PBE).

a = 9.308 Å, b = 14.976 Å, c = 9.530 Å
α = 90.00°, β = 96.76°, γ = 90.00°
Space group C2/c (No. 15)
Symmetry-distinct sites (fractional):
Nd 0.000 0.092 0.250
Dy 0.245 0.451 0.054
Y 0.062 0.324 0.441
Y 0.094 0.112 0.613
Y 0.205 0.277 0.818
Th 0.000 0.468 0.750

- Energy relative to the elements: 0.1497 eV per atom



Record 4
Entry from Alexandria via LeMat-Bulk: SrZr3Cr after structural relaxation (PBE).

a = 5.046 Å, b = 5.046 Å, c = 5.046 Å
α = 90.00°, β = 90.00°, γ = 90.00°
Space group Pm-3m (No. 221)
Symmetry-distinct sites (fractional):
Sr 0.000 0.000 0.000
Zr 0.000 0.000 0.500
Cr 0.500 0.500 0.500

- Energy relative to the elements: 2.3976 eV per atom



Record 5
Entry from Alexandria via LeMat-Bulk: Co2IrPb after structural relaxation (PBE).

a = 8.668 Å, b = 2.995 Å, c = 4.873 Å
α = 90.00°, β = 102.16°, γ = 90.00°
Space group Cm (No. 8)
Symmetry-distinct sites (fractional):
Co 0.000 0.000 0.000
Co 0.230 0.500 0.193
Ir 0.259 0.000 0.788
Pb 0.493 0.000 0.479

- Energy relative to the elements: 0.4425 eV per atom



Record 6
Entry from Alexandria via LeMat-Bulk: Cr2Ni3Ir4 after structural relaxation (PBE).

a = 8.198 Å, b = 3.733 Å, c = 7.816 Å
α = 90.00°, β = 106.46°, γ = 90.00°
Space group C2/m (No. 12)
Symmetry-distinct sites (fractional):
Cr 0.168 0.000 0.221
Ni 0.000 0.500 0.000
Ni 0.170 0.000 0.554
Ir 0.005 0.500 0.336
Ir 0.162 0.000 0.887

- Energy relative to the elements: -0.1024 eV per atom



Record 7
Entry from Alexandria via LeMat-Bulk: Sm3ErC after structural relaxation (PBE).

a = 5.161 Å, b = 5.161 Å, c = 5.161 Å
α = 90.00°, β = 90.00°, γ = 90.00°
Space group Pm-3m (No. 221)
Symmetry-distinct sites (fractional):
Sm 0.000 0.000 0.500
Er 0.500 0.500 0.500
C 0.000 0.000 0.000

- Energy relative to the elements: 0.0607 eV per atom



Record 8
Entry from Alexandria via LeMat-Bulk: NbNi2Pt3 after structural relaxation (PBE).

a = 7.733 Å, b = 8.875 Å, c = 5.474 Å
α = 90.00°, β = 97.66°, γ = 90.00°
Space group C2/c (No. 15)
Symmetry-distinct sites (fractional):
Nb 0.000 0.033 0.250
Ni 0.159 0.225 0.680
Pt 0.000 0.313 0.250
Pt 0.201 0.466 0.972

- Energy relative to the elements: -0.1099 eV per atom



Record 9
Entry from Alexandria via LeMat-Bulk: Ca2GaCu2 after structural relaxation (PBE).

a = 9.528 Å, b = 5.627 Å, c = 8.030 Å
α = 90.00°, β = 102.63°, γ = 90.00°
Space group C2/c (No. 15)
Symmetry-distinct sites (fractional):
Ca 0.151 0.134 0.152
Ga 0.000 0.365 0.750
Cu 0.130 0.366 0.501

- Energy relative to the elements: -0.2816 eV per atom



Record 10
Entry from Alexandria via LeMat-Bulk: KMnCl3 after structural relaxation (PBE).

a = 6.936 Å, b = 7.431 Å, c = 7.448 Å
α = 63.86°, β = 76.55°, γ = 76.49°
Space group P1 (No. 1)
Symmetry-distinct sites (fractional):
K 0.000 0.000 0.000
K 0.475 0.650 0.651
Mn 0.236 0.374 0.276
Mn 0.735 0.554 0.098
Cl 0.105 0.403 0.989
Cl 0.233 0.079 0.568
Cl 0.366 0.659 0.252
Cl 0.600 0.286 0.092
Cl 0.733 0.848 0.806
Cl 0.872 0.560 0.364

- Uncorrected energy: -0.3380 Ry/atom



Record 11
Entry from Alexandria via LeMat-Bulk: CuSiRu2 after structural relaxation (PBE).

a = 2.7498 Å, b = 2.7498 Å, c = 24.6101 Å
α = 90.00°, β = 90.00°, γ = 120.00°
Space group R3m (No. 160, hexagonal axes)
Symmetry-distinct sites (fractional):
Cu 0.0000 0.0000 0.0000
Si 0.0000 0.0000 0.7454
Ru 0.0000 0.0000 0.2432
Ru 0.0000 0.0000 0.4915

- Uncorrected energy: -0.5126 Ry/atom



Record 12
Entry from Alexandria via LeMat-Bulk: Sm4ThMg5 after structural relaxation (PBE).

a = 3.841 Å, b = 3.841 Å, c = 19.281 Å
α = 90.00°, β = 90.00°, γ = 90.00°
Space group P4/mmm (No. 123)
Symmetry-distinct sites (fractional):
Sm 0.000 0.000 0.100
Sm 0.000 0.000 0.301
Th 0.000 0.000 0.500
Mg 0.500 0.500 0.000
Mg 0.500 0.500 0.200
Mg 0.500 0.500 0.399

- Energy relative to the elements: -0.0632 eV per atom



Calculated spin magnetization, 0.0, 4.9, 0.0, 0.6, 6.9, 0.0, 0.0, 0.0, 0.0, 10.0, 0.0, 0.0 μB/cell (same order as the records).